Entry 1:
Cd3InAu12 after structural relaxation. Source: the Alexandria database, functional PBEsol.

The formation enthalpy at 0 K is -2.16 eV per formula unit. Its symmetry is P-6m2.

POSCAR file:
```
Cd3InAu12
1.0
5.8372 0.0000 0.0000
-2.9186 5.0552 0.0000
0.0000 0.0000 9.5273
Cd In Au
3 1 12
Cartesian
2.9186 1.6850 0.0000
0.0000 0.0000 2.3773
0.0000 0.0000 7.1500
0.0000 3.3701 4.7636
2.9186 3.3616 4.7636
4.3706 0.8467 4.7636
1.4666 0.8467 4.7636
0.0000 1.6943 0.0000
-1.4513 4.2080 0.0000
1.4513 4.2080 0.0000
4.3764 2.5267 2.3760
2.9186 0.0017 2.3760
1.4608 2.5267 2.3760
4.3764 2.5267 7.1512
2.9186 0.0017 7.1512
1.4608 2.5267 7.1513
```


Entry 2:
Cd2InAu after structural relaxation. Source: the Alexandria database, functional PBEsol.

The formation enthalpy at 0 K is -0.28 eV per formula unit. Its symmetry is Cm.

POSCAR file:
```
Cd2InAu
1.0
3.7688 0.0000 0.0000
0.0000 4.8510 -0.1079
-1.8844 -0.9054 4.5339
In Au Cd
1 1 2
Cartesian
0.0000 1.4463 4.4163
1.8844 0.7589 2.2397
0.0000 0.0205 0.0452
0.0000 3.2402 2.2047
```


Entry 3:
CdInAu4 after structural relaxation. Source: the Alexandria database, functional PBEsol.

The formation enthalpy at 0 K is -0.32 eV per formula unit. Its symmetry is F-43m.

POSCAR file:
```
CdInAu4
1.0
5.4656 0.0000 0.0000
2.7328 4.7333 0.0000
2.7328 1.5778 4.4626
In Au Cd
1 4 1
Cartesian
0.0000 0.0000 0.0000
4.1004 2.3673 1.6740
5.4656 3.1555 3.9033
6.8307 2.3673 1.6740
5.4656 4.7319 1.6740
8.1983 4.7333 3.3470
```


Entry 4:
Cd2InAu after structural relaxation. Source: the Alexandria database, functional PBEsol.

The formation enthalpy at 0 K is -0.20 eV per formula unit. Its symmetry is I-4m2.

POSCAR file:
```
Cd2InAu
1.0
-0.8083 -4.2033 -0.4022
4.0463 -0.6539 -1.2971
-0.3973 1.7986 4.9784
Cd Au In
2 1 1
Cartesian
0.0000 0.0000 0.0000
0.2067 -2.4167 1.8632
2.6340 -0.6420 1.4158
1.6190 -2.4286 -0.8497
```


Entry 5:
CdInAu2 after structural relaxation. Source: the Alexandria database, functional PBEsol.

The formation enthalpy at 0 K is -0.51 eV per formula unit. Its symmetry is I-4m2.

POSCAR file:
```
CdInAu2
1.0
4.1541 0.0000 0.0000
0.0000 4.1541 0.0000
-2.0771 -2.0771 4.3179
In Au Cd
1 2 1
Cartesian
0.0000 2.0771 2.1589
0.0000 0.0000 0.0000
2.0771 0.0000 2.1589
2.0771 2.0771 0.0000
```


Entry 6:
CdInAu2 after structural relaxation. Source: the Alexandria database, functional PBEsol.

The formation enthalpy at 0 K is -0.57 eV per formula unit. Its symmetry is P4mm.

POSCAR file:
```
CdInAu2
1.0
3.7175 0.0000 0.0000
0.0000 3.7203 0.0000
0.0000 0.0000 5.6126
In Au Cd
1 2 1
Cartesian
1.8587 1.8601 4.3550
0.0000 0.0000 5.4975
1.8587 1.8601 1.5272
0.0000 0.0000 2.6518
```


Entry 7:
Cd2InAu2 after structural relaxation. Source: the Alexandria database, functional PBEsol.

The formation enthalpy at 0 K is -0.72 eV per formula unit. Its symmetry is P4/mbm.

POSCAR file:
```
Cd2InAu2
1.0
3.7414 0.0000 0.0000
0.0000 7.3344 0.0000
0.0000 0.0000 7.3344
Cd Au In
4 4 2
Cartesian
1.8707 1.1477 4.8149
1.8707 4.8149 6.1868
1.8707 6.1868 2.5195
1.8707 2.5195 1.1477
0.0000 2.6289 6.2961
0.0000 6.2961 4.7055
0.0000 4.7055 1.0383
0.0000 1.0383 2.6289
0.0000 0.0000 0.0000
0.0000 3.6672 3.6672
```


Entry 8:
CdInAu2 after structural relaxation. Source: the Alexandria database, functional PBEsol.

The formation enthalpy at 0 K is -0.63 eV per formula unit. Its symmetry is Pm.

POSCAR file:
```
CdInAu2
1.0
-1.9184 -1.4889 -2.0039
1.8982 -4.4557 1.5080
-3.2792 -0.2673 3.3379
In Au Cd
1 2 1
Cartesian
-2.0176 -1.4990 1.1883
-1.5676 -1.5703 -1.6657
-2.0077 -4.5062 0.9573
0.3648 -3.0976 0.1104
```